Entry 1:
# LaSm2Al

A relaxed LaSm2Al crystal (GGA-PBE, Alexandria via LeMat-Bulk).

```
LaSm2Al
1.0
5.395 0.000 0.000
0.000 3.530 6.155
0.000 -3.530 6.155
La Sm Al
2 4 2
Cartesian
0.000 -1.917 6.155 La
0.000 1.917 6.155 La
0.000 0.000 2.870 Sm
2.698 -1.879 3.989 Sm
2.698 1.879 3.989 Sm
2.698 0.000 7.263 Sm
0.000 0.000 9.167 Al
2.698 0.000 1.036 Al
```

Values from the calculation:
The formation energy comes out at -0.183 eV/atom.



Entry 2:
# LiBeSb2

A relaxed LiBeSb2 crystal (GGA-PBE, Alexandria via LeMat-Bulk).

```
LiBeSb2
1.0
-1.941 2.711 3.958
1.941 -2.711 3.958
1.941 2.711 -3.958
Li Be Sb
1 1 2
Cartesian
0.000 0.000 0.000 Li
0.000 0.000 3.958 Be
1.941 0.000 2.275 Sb
0.000 2.711 1.683 Sb
```

Values from the calculation:
The final energy is -0.1226 hartree per atom.